[1]
First-principles (PBE) data for crystalline YInPbI6 at its relaxed geometry, as listed in Alexandria.

Geometry as POSCAR:
```
YInPbI6
1.0
8.076 0.000 0.000
-4.038 6.994 0.000
0.000 0.000 15.088
Y In Pb I
2 2 2 12
Direct
0.333 0.667 0.250 Y
0.667 0.333 0.750 Y
0.000 0.000 0.000 In
0.000 0.000 0.500 In
0.333 0.667 0.750 Pb
0.667 0.333 0.250 Pb
0.019 0.369 0.131 I
0.019 0.650 0.369 I
0.350 0.369 0.369 I
0.350 0.981 0.131 I
0.369 0.019 0.631 I
0.369 0.350 0.869 I
0.631 0.650 0.131 I
0.631 0.981 0.369 I
0.650 0.019 0.869 I
0.650 0.631 0.631 I
0.981 0.350 0.631 I
0.981 0.631 0.869 I
```

Summary:
- Final energy: -3.407 eV/atom
- E_form (uncorrected): -0.939 eV/atom
- DOS(E_F): 0.0 states/eV per cell

=====

[2]
First-principles (PBE) data for crystalline CdGa2Bi at its relaxed geometry, as listed in Alexandria.

Geometry as POSCAR:
```
CdGa2Bi
1.0
3.793 -2.173 0.000
3.793 2.173 0.000
-2.744 0.000 6.368
Cd Ga Bi
1 2 1
Direct
0.000 0.000 0.000 Cd
0.409 0.409 0.221 Ga
0.586 0.586 0.740 Ga
0.833 0.833 0.485 Bi
```

Summary:
- Final energy: -2.603 eV/atom
- DOS(E_F): 1.4 states/eV per cell

=====

[3]
First-principles (PBE) data for crystalline MgSn2Ir2 at its relaxed geometry, as listed in Alexandria.

Geometry as POSCAR:
```
MgSn2Ir2
1.0
7.328 0.000 0.000
0.000 7.328 0.000
0.000 0.000 3.506
Mg Sn Ir
2 4 4
Direct
0.000 0.000 0.000 Mg
0.500 0.500 0.000 Mg
0.157 0.343 0.500 Sn
0.343 0.843 0.500 Sn
0.657 0.157 0.500 Sn
0.843 0.657 0.500 Sn
0.141 0.641 0.000 Ir
0.359 0.141 0.000 Ir
0.641 0.859 0.000 Ir
0.859 0.359 0.000 Ir
```

Summary:
- Final energy: -5.657 eV/atom
- DOS(E_F): 1.5 states/eV per cell